A plane-wave DFT calculation with PBE was carried out for a relaxed structure of CaLa3Pm2Se6.

SG: C2/m (12)
Uncorrected energy (eV/atom): -5.8694
Formation energy without anion corrections (eV/atom): -1.94
Total magnetization (Bohr magnetons per cell): 0.0

Cell lengths 7.372, 7.372, 7.371 Å; angles 99.55, 99.55, 120.06 degrees
Atoms (fractional coordinates):
Ca  0.000  0.000  0.000
La  0.168  0.832  0.500
La  0.500  0.500  0.500
La  0.832  0.168  0.500
Pm  0.333  0.667  0.000
Pm  0.667  0.333  0.000
Se  0.080  0.409  0.240
Se  0.249  0.249  0.760
Se  0.409  0.080  0.240
Se  0.591  0.920  0.760
Se  0.751  0.751  0.240
Se  0.920  0.591  0.760